Material: KScMo2
Method: DFT, GGA-PBEsol
State: optimized geometry

Computed properties:
The distance to the lowest polymorph of the same formula comes out at 0.000 eV per atom. The symmetry is Cmmm (65).

abc: 3.3987 4.2893 10.7669
angles: 90.00 90.00 90.00
Sites, in units of the cell vectors:
K (0.0000, 0.0000, 0.0000)
K (0.5000, 0.5000, 0.0000)
Sc (0.0000, 0.0000, 0.5000)
Sc (0.5000, 0.5000, 0.5000)
Mo (0.0000, 0.5000, 0.2848)
Mo (0.0000, 0.5000, 0.7152)
Mo (0.5000, 0.0000, 0.2848)
Mo (0.5000, 0.0000, 0.7152)

---

Material: InNiRh2
Method: DFT, GGA-PBEsol
State: optimized geometry

Computed properties:
The symmetry is Immm (71).

abc: 2.8331 4.5252 8.8626
angles: 90.00 90.00 90.00
Sites, in units of the cell vectors:
In (0.0000, 0.0000, 0.0000)
In (0.5000, 0.5000, 0.5000)
Ni (0.0000, 0.0000, 0.5000)
Ni (0.5000, 0.5000, 0.0000)
Rh (0.0000, 0.5000, 0.2352)
Rh (0.0000, 0.5000, 0.7648)
Rh (0.5000, 0.0000, 0.2648)
Rh (0.5000, 0.0000, 0.7352)

---

no.,final energy (eV per atom),DFT formation energy (eV/atom)
1,-6.985,0.83
2,-6.364,-0.01